# 1
Material: Pm5Pr4Tl
Method: DFT, GGA-PBE
State: optimized geometry

## Properties
spin magnetization	0.0	μB per cell
calculated density	6.93	g cm⁻³
energy relative to the lowest polymorph listed for this composition	78	meV per atom
DFT formation energy	0.092	eV per atom

Geometry as CIF:
```
data_Pm5Pr4Tl
_chemical_formula_sum 'Pm10 Pr8 Tl2'
_cell_length_a 10.8624
_cell_length_b 10.8624
_cell_length_c 6.0612
_cell_angle_alpha 90.00
_cell_angle_beta 90.00
_cell_angle_gamma 90.00
_space_group_name_H-M_alt 'I 4 m m'
_space_group_IT_number 107
_space_group_name_Hall 'I 4 -2'
loop_
_atom_site_label
_atom_site_fract_x
_atom_site_fract_y
_atom_site_fract_z
_atom_site_occupancy
Pm1 0.0000 0.0000 0.0000 1
Pm2 0.1858 0.1858 0.7085 1
Pr1 0.0000 0.3121 0.1962 1
Tl1 0.0000 0.0000 0.4794 1
```

---

# 2
Material: Pm5PrTl3
Method: DFT, GGA-PBE
State: optimized geometry

## Properties
spin magnetization	4.0	μB per cell
calculated density	8.85	g cm⁻³
DFT formation energy	-0.268	eV per atom

Geometry as CIF:
```
data_Pm5PrTl3
_chemical_formula_sum 'Pm10 Pr2 Tl6'
_cell_length_a 9.6269
_cell_length_b 9.6269
_cell_length_c 6.9174
_cell_angle_alpha 90.00
_cell_angle_beta 90.00
_cell_angle_gamma 120.00
_space_group_name_H-M_alt 'P 63/m c m'
_space_group_IT_number 193
_space_group_name_Hall '-P 6c 2'
loop_
_atom_site_label
_atom_site_fract_x
_atom_site_fract_y
_atom_site_fract_z
_atom_site_occupancy
Pm1 0.0000 0.3316 0.2500 1
Pm2 0.3333 0.6667 0.0000 1
Pr1 0.0000 0.0000 0.0000 1
Tl1 0.0000 0.3365 0.7500 1
```

---

# 3
Material: PmPr2Tl4
Method: DFT, GGA-PBE
State: optimized geometry

## Properties
spin magnetization	1.8	μB per cell
calculated density	8.93	g cm⁻³
energy relative to the lowest polymorph listed for this composition	0	meV per atom
DFT formation energy	-0.235	eV per atom

Geometry as CIF:
```
data_PmPr2Tl4
_chemical_formula_sum 'Pm2 Pr4 Tl8'
_cell_length_a 7.6340
_cell_length_b 7.6340
_cell_length_c 7.9387
_cell_angle_alpha 90.00
_cell_angle_beta 90.00
_cell_angle_gamma 90.00
_space_group_name_H-M_alt 'I 4/m m m'
_space_group_IT_number 139
_space_group_name_Hall '-I 4 2'
loop_
_atom_site_label
_atom_site_fract_x
_atom_site_fract_y
_atom_site_fract_z
_atom_site_occupancy
Pm1 0.0000 0.0000 0.0000 1
Pr1 0.0000 0.5000 0.0000 1
Tl1 0.2500 0.2500 0.2500 1
```

---

# 4
Material: Pm15Pr4Tl
Method: DFT, GGA-PBE
State: optimized geometry

## Properties
spin magnetization	0.0	μB per cell
calculated density	7.18	g cm⁻³
DFT formation energy	-0.021	eV per atom

Geometry as CIF:
```
data_Pm15Pr4Tl
_chemical_formula_sum 'Pm15 Pr4 Tl1'
_cell_length_a 5.1182
_cell_length_b 5.1182
_cell_length_c 25.9791
_cell_angle_alpha 90.00
_cell_angle_beta 90.00
_cell_angle_gamma 90.00
_space_group_name_H-M_alt 'P 4/m m m'
_space_group_IT_number 123
_space_group_name_Hall '-P 4 2'
loop_
_atom_site_label
_atom_site_fract_x
_atom_site_fract_y
_atom_site_fract_z
_atom_site_occupancy
Pm1 0.0000 0.0000 0.0000 1
Pm2 0.0000 0.0000 0.1953 1
Pm3 0.0000 0.0000 0.3984 1
Pm4 0.0000 0.5000 0.0955 1
Pm5 0.0000 0.5000 0.2978 1
Pm6 0.0000 0.5000 0.5000 1
Pr1 0.5000 0.5000 0.1970 1
Pr2 0.5000 0.5000 0.3994 1
Tl1 0.5000 0.5000 0.0000 1
```

---

# 5
Material: Pm12Pr6Tl
Method: DFT, GGA-PBE
State: optimized geometry

## Properties
spin magnetization	0.0	μB per cell
calculated density	7.01	g cm⁻³
DFT formation energy	0.070	eV per atom

Geometry as CIF:
```
data_Pm12Pr6Tl
_chemical_formula_sum 'Pm36 Pr18 Tl3'
_cell_length_a 12.2105
_cell_length_b 12.2105
_cell_length_c 15.3519
_cell_angle_alpha 90.00
_cell_angle_beta 90.00
_cell_angle_gamma 120.00
_space_group_name_H-M_alt 'R -3'
_space_group_IT_number 148
_space_group_name_Hall '-R 3'
loop_
_atom_site_label
_atom_site_fract_x
_atom_site_fract_y
_atom_site_fract_z
_atom_site_occupancy
Pm1 0.0045 0.8300 0.3142 1
Pm2 0.0471 0.1974 0.9165 1
Pr1 0.0159 0.5910 0.1857 1
Tl1 0.0000 0.0000 0.5000 1
```

---

# 6
Material: PmPr4Tl2
Method: DFT, GGA-PBE
State: optimized geometry

## Properties
spin magnetization	0.0	μB per cell
calculated density	7.90	g cm⁻³
DFT formation energy	0.057	eV per atom

Geometry as CIF:
```
data_PmPr4Tl2
_chemical_formula_sum 'Pm2 Pr8 Tl4'
_cell_length_a 6.9231
_cell_length_b 10.8057
_cell_length_c 6.3362
_cell_angle_alpha 90.00
_cell_angle_beta 97.73
_cell_angle_gamma 90.00
_space_group_name_H-M_alt 'C 1 2/m 1'
_space_group_IT_number 12
loop_
_space_group_symop_operation_xyz
'x,y,z'
'-x,-y,-z'
'-x,y,-z'
'x,-y,z'
'x+1/2,y+1/2,z'
'-x+1/2,-y+1/2,-z'
'-x+1/2,y+1/2,-z'
'x+1/2,-y+1/2,z'
loop_
_atom_site_label
_atom_site_fract_x
_atom_site_fract_y
_atom_site_fract_z
_atom_site_occupancy
Pm1 0.0000 0.0000 0.0000 1
Pr1 0.0000 0.2140 0.5000 1
Pr2 0.2500 0.2500 0.0000 1
Tl1 0.0789 0.5000 0.2671 1
```

---

# 7
Material: PmPr2TmTl2
Method: DFT, GGA-PBE
State: optimized geometry

## Properties
spin magnetization	0.0	μB per cell
calculated density	8.97	g cm⁻³
DFT formation energy	-0.268	eV per atom

Geometry as CIF:
```
data_PmPr2TmTl2
_chemical_formula_sum 'Pm2 Pr4 Tm2 Tl4'
_cell_length_a 5.1749
_cell_length_b 10.2449
_cell_length_c 7.0175
_cell_angle_alpha 90.00
_cell_angle_beta 90.00
_cell_angle_gamma 90.00
_space_group_name_H-M_alt 'P m c 21'
_space_group_IT_number 26
loop_
_space_group_symop_operation_xyz
'x,y,z'
'-x,-y,z+1/2'
'-x,y,z'
'x,-y,z+1/2'
loop_
_atom_site_label
_atom_site_fract_x
_atom_site_fract_y
_atom_site_fract_z
_atom_site_occupancy
Pm1 0.0000 0.0459 0.0000 1
Pr1 0.0000 0.3165 0.3745 1
Pr2 0.5000 0.4514 0.0988 1
Tm1 0.5000 0.1871 0.7126 1
Tl1 0.0000 0.3541 0.8372 1
Tl2 0.5000 0.1219 0.2638 1
```

---

# 8
Material: Pm2Pr6Tm3Tl
Method: DFT, GGA-PBE
State: optimized geometry

## Properties
spin magnetization	0.0	μB per cell
calculated density	7.74	g cm⁻³
DFT formation energy	-0.020	eV per atom

Geometry as CIF:
```
data_Pm2Pr6Tm3Tl
_chemical_formula_sum 'Pm4 Pr12 Tm6 Tl2'
_cell_length_a 6.2330
_cell_length_b 10.8242
_cell_length_c 11.9246
_cell_angle_alpha 90.00
_cell_angle_beta 100.12
_cell_angle_gamma 90.00
_space_group_name_H-M_alt 'C 1 2/m 1'
_space_group_IT_number 12
loop_
_space_group_symop_operation_xyz
'x,y,z'
'-x,-y,-z'
'-x,y,-z'
'x,-y,z'
'x+1/2,y+1/2,z'
'-x+1/2,-y+1/2,-z'
'-x+1/2,y+1/2,-z'
'x+1/2,-y+1/2,z'
loop_
_atom_site_label
_atom_site_fract_x
_atom_site_fract_y
_atom_site_fract_z
_atom_site_occupancy
Pm1 0.0000 0.1662 0.0000 1
Pr1 0.2425 0.5000 0.7465 1
Pr2 0.2476 0.3366 0.2526 1
Tm1 0.0000 0.0000 0.5000 1
Tm2 0.0000 0.3329 0.5000 1
Tl1 0.0000 0.5000 0.0000 1
```

---

# 9
Material: PmPrYTl
Method: DFT, GGA-PBE
State: optimized geometry

## Properties
spin magnetization	5.1	μB per cell
calculated density	7.72	g cm⁻³
energy relative to the lowest polymorph listed for this composition	146	meV per atom
DFT formation energy	-0.057	eV per atom

Geometry as CIF:
```
data_PmPrYTl
_chemical_formula_sum 'Pm4 Pr4 Y4 Tl4'
_cell_length_a 7.9266
_cell_length_b 7.9266
_cell_length_c 7.9266
_cell_angle_alpha 90.00
_cell_angle_beta 90.00
_cell_angle_gamma 90.00
_space_group_name_H-M_alt 'F -4 3 m'
_space_group_IT_number 216
_space_group_name_Hall 'F -4 2 3'
loop_
_atom_site_label
_atom_site_fract_x
_atom_site_fract_y
_atom_site_fract_z
_atom_site_occupancy
Pm1 0.0000 0.0000 0.0000 1
Pr1 0.0000 0.0000 0.5000 1
Y1 0.2500 0.2500 0.2500 1
Tl1 0.2500 0.2500 0.7500 1
```

---

# 10
Material: PmPrYTl
Method: DFT, GGA-PBE
State: optimized geometry

## Properties
spin magnetization	0.0	μB per cell
calculated density	7.90	g cm⁻³
energy relative to the lowest polymorph listed for this composition	0	meV per atom
DFT formation energy	-0.203	eV per atom

Geometry as CIF:
```
data_PmPrYTl
_chemical_formula_sum 'Pm1 Pr1 Y1 Tl1'
_cell_length_a 4.8911
_cell_length_b 4.9096
_cell_length_c 5.0718
_cell_angle_alpha 90.00
_cell_angle_beta 90.00
_cell_angle_gamma 90.00
_space_group_name_H-M_alt 'P m m m'
_space_group_IT_number 47
loop_
_space_group_symop_operation_xyz
'x,y,z'
'-x,-y,-z'
'-x,-y,z'
'x,y,-z'
'x,-y,-z'
'-x,y,z'
'-x,y,-z'
'x,-y,z'
loop_
_atom_site_label
_atom_site_fract_x
_atom_site_fract_y
_atom_site_fract_z
_atom_site_occupancy
Pm1 0.0000 0.0000 0.0000 1
Pr1 0.5000 0.5000 0.0000 1
Y1 0.0000 0.5000 0.5000 1
Tl1 0.5000 0.0000 0.5000 1
```